The following is a PBE-GGA calculation of a relaxed K3U3CoSe8 crystal, from Alexandria.

a b c (Å): 8.1050 8.1050 23.7296
angles (deg): 90.00 90.00 120.00
Space group R-3m (No. 166, hexagonal axes)
Asymmetric unit:
1 K 0.0000 0.5000 0.0000 [9 per cell]
2 U 0.0000 0.5000 0.5000 [9 per cell]
3 Co 0.0000 0.0000 0.5000 [3 per cell]
4 Se 0.0000 0.0000 0.2370 [6 per cell]
5 Se 0.0136 0.5068 0.2307 [18 per cell]

**Energy**: -5.85 eV/atom
**Magnetization**: 8.43 μB per formula unit
**Formation energy from raw total energies**: -101 kJ/mol of atoms


The following is a PBE-GGA calculation of a relaxed K3U2CoSe6 crystal, from Alexandria.

a b c (Å): 7.0838 12.2706 8.0610
angles (deg): 90.00 107.06 90.00
Space group C2/m (No. 12)
Asymmetric unit:
1 K 0.0000 0.0000 0.0000 [2 per cell]
2 K 0.0000 0.3323 0.0000 [4 per cell]
3 U 0.0000 0.1665 0.5000 [4 per cell]
4 Co 0.0000 0.5000 0.5000 [2 per cell]
5 Se 0.2272 0.3391 0.6989 [8 per cell]
6 Se 0.2445 0.0000 0.6997 [4 per cell]

**Energy**: -5.50 eV/atom
**Magnetization**: 6.33 μB per formula unit
**Formation energy from raw total energies**: -97 kJ/mol of atoms


> The highest energy belongs to which entry?

K3U2CoSe6